Entry 1:
Be2CrAs: optimized geometry, PBE.

Properties
Size of the total moment: 0.2 μB per formula unit
ΔE_f: 0.3239 eV/atom
Final energy: -5.107 eV/atom
Volume: 11.5 Å³/atom
Density of states at the Fermi level: 2.0 states/eV/f.u.

abc: 4.648 4.570 2.620
angles: 81.52 74.12 115.47
Each line ends with the local moment (μB).
Positions (direct):
Cr 0.000 0.500 0.500  0.22
As 0.500 0.500 0.000  0.00
Be 0.000 0.000 0.000  -0.01
Be 0.500 0.000 0.500  -0.01

---

Entry 2:
Be2CrAs: optimized geometry, PBE.

Properties
Size of the total moment: 0.6 μB per formula unit
ΔE_f: 0.0898 eV/atom
Final energy: -5.342 eV/atom
Volume: 11.2 Å³/atom
Density of states at the Fermi level: 2.1 states/eV/f.u.

abc: 3.068 3.069 4.770
angles: 90.00 90.00 90.00
Each line ends with the local moment (μB).
Positions (direct):
Cr 0.000 0.000 0.500  0.61
As 0.500 0.500 0.744  -0.03
Be 0.000 0.000 0.021  0.01
Be 0.500 0.500 0.235  -0.01

---

Q: Which of these has the lowest final energy?
A: number 2

---

What did the first record say?
Be2CrAs: optimized geometry, PBE.

Properties
Size of the total moment: 0.2 μB per formula unit
ΔE_f: 0.3239 eV/atom
Final energy: -5.107 eV/atom
Volume: 11.5 Å³/atom
Density of states at the Fermi level: 2.0 states/eV/f.u.

abc: 4.648 4.570 2.620
angles: 81.52 74.12 115.47
Each line ends with the local moment (μB).
Positions (direct):
Cr 0.000 0.500 0.500  0.22
As 0.500 0.500 0.000  0.00
Be 0.000 0.000 0.000  -0.01
Be 0.500 0.000 0.500  -0.01